Material: Mn4In5
Method: DFT, PBE
State: optimized geometry

## Properties
Formation energy from the elements ... 0.306 eV per atom
Polymorph energy (0 for the lowest one) ... 0.003 eV/atom
Crystal system ... hexagonal
DOS(E_F) ... 0.82 states/eV/atom

Cell lengths 8.2640, 8.2640, 5.6763 Å; angles 90.00, 90.00, 120.00 degrees
Space group P6_3/mcm (No. 193)
Inequivalent atoms, fractional coordinates:
Mn1 0.0000 0.0000 0.0000 x2
Mn2 0.0000 0.3834 0.2500 x6
In1 0.0000 0.2814 0.7500 x6
In2 0.3333 0.6667 0.0000 x4